Entry 1:
16
Lattice="-1.813 8.459 -0.434 -8.436 -1.783 -0.831 4.430 -3.125 6.738" Properties=species:S:1:pos:R:3 comment="Rb2CeSbS4, relaxed, DFT PBE" e_tot_ev_per_atom=-4.74 mass_density_g_cm3=4.04 pbc="T T T"
Rb -4.913 -0.678 5.690
Rb -7.128 0.884 2.321
Rb 2.215 -1.562 3.369
Rb -5.125 3.338 -0.632
Ce -1.602 4.443 5.888
Ce -2.003 -2.454 2.954
Sb -2.910 1.776 2.736
Sb -5.820 3.551 5.473
S -2.272 -2.669 5.806
S -1.586 4.265 3.021
S -4.234 -0.714 2.452
S -3.548 6.221 -0.334
S -3.310 2.170 5.545
S -5.197 3.501 2.678
S -0.622 0.051 2.795
S -2.510 1.381 -0.072

---

Entry 2:
4
Lattice="-0.947 -0.278 4.643 -3.407 -0.710 3.228 0.650 -5.312 0.490" Properties=species:S:1:pos:R:3 comment="Cd2ReOs, relaxed, DFT PBE" e_tot_ev_per_atom=-5.80 delta_e_f_ev_per_atom=0.578 mass_density_g_cm3=14.42 polymorph_energy_mev_per_atom=369 pbc="T T T"
Re -0.878 -1.788 2.071
Os -1.896 -2.932 4.190
Cd -3.698 -6.258 8.337
Cd -2.789 -4.772 6.303

---

Entry 3:
10
Lattice="6.040 0.129 0.000 2.401 4.828 0.000 0.000 0.000 5.742" Properties=species:S:1:pos:R:3 comment="YBePt3, relaxed, DFT PBE" e_tot_ev_per_atom=-6.62 delta_e_f_ev_per_atom=-0.956 mass_density_g_cm3=13.69 polymorph_energy_mev_per_atom=1 pbc="T T T"
Y 6.571 1.372 0.301
Y 5.174 3.491 3.172
Be 5.226 0.563 3.172
Be 6.519 4.300 0.301
Pt 1.238 1.208 3.172
Pt 4.467 3.527 0.301
Pt 3.641 1.210 4.640
Pt 3.641 1.210 1.704
Pt 2.063 3.524 1.769
Pt 2.063 3.524 4.575

---

What did the third record say?
10
Lattice="6.040 0.129 0.000 2.401 4.828 0.000 0.000 0.000 5.742" Properties=species:S:1:pos:R:3 comment="YBePt3, relaxed, DFT PBE" e_tot_ev_per_atom=-6.62 delta_e_f_ev_per_atom=-0.956 mass_density_g_cm3=13.69 polymorph_energy_mev_per_atom=1 pbc="T T T"
Y 6.571 1.372 0.301
Y 5.174 3.491 3.172
Be 5.226 0.563 3.172
Be 6.519 4.300 0.301
Pt 1.238 1.208 3.172
Pt 4.467 3.527 0.301
Pt 3.641 1.210 4.640
Pt 3.641 1.210 1.704
Pt 2.063 3.524 1.769
Pt 2.063 3.524 4.575